1.
# Ba3Li2ZrO6

A relaxed Ba3Li2ZrO6 crystal (PBE, the Alexandria database).

a = 6.040 Å, b = 6.040 Å, c = 6.807 Å
α = 90.00°, β = 90.00°, γ = 120.00°
Element x y z (fractional)
Ba  0.000  0.000  0.000
Ba  0.333  0.667  0.637
Ba  0.667  0.333  0.363
Li  0.333  0.667  0.228
Li  0.667  0.333  0.772
Zr  0.000  0.000  0.500
O  0.164  0.328  0.311
O  0.164  0.836  0.311
O  0.328  0.164  0.689
O  0.672  0.836  0.311
O  0.836  0.164  0.689
O  0.836  0.672  0.689

Results
E_form (uncorrected) = -2530 meV/atom

***

2.
# Zn2AgMo

A relaxed Zn2AgMo crystal (PBE, the Alexandria database).

a = 5.672 Å, b = 5.672 Å, c = 5.672 Å
α = 104.06°, β = 104.06°, γ = 120.94°
Element x y z (fractional)
Zn  0.121  0.625  0.996
Zn  0.375  0.371  0.496
Zn  0.629  0.125  0.004
Zn  0.875  0.879  0.504
Ag  0.000  0.000  0.000
Ag  0.750  0.250  0.500
Mo  0.250  0.750  0.500
Mo  0.500  0.500  0.000

Results
energy above the most stable polymorph in this dataset = 576.6 meV/atom
energy of formation = 626 meV per atom

***

3.
# Nd3Ge2Br2

A relaxed Nd3Ge2Br2 crystal (PBE, the Alexandria database).

a = 4.212 Å, b = 7.405 Å, c = 7.906 Å
α = 77.59°, β = 89.94°, γ = 73.71°
Element x y z (fractional)
Nd  0.000  0.000  0.000
Nd  0.237  0.522  0.768
Nd  0.763  0.478  0.232
Ge  0.379  0.244  0.110
Ge  0.621  0.756  0.890
Br  0.139  0.725  0.370
Br  0.861  0.275  0.630

Results
E_form (uncorrected) = -1041 meV/atom

***

4.
# Ce2MgSc

A relaxed Ce2MgSc crystal (PBE, the Alexandria database).

a = 3.201 Å, b = 3.201 Å, c = 11.774 Å
α = 97.72°, β = 97.72°, γ = 60.04°
Element x y z (fractional)
Ce  0.000  0.000  0.000
Ce  0.169  0.169  0.509
Mg  0.750  0.750  0.254
Sc  0.585  0.585  0.755

Results
energy above the most stable polymorph in this dataset = 2.7 meV/atom
energy of formation = 82 meV per atom

***

5.
# Co3W

A relaxed Co3W crystal (PBE, the Alexandria database).

a = 8.453 Å, b = 8.453 Å, c = 8.453 Å
α = 17.97°, β = 17.97°, γ = 17.97°
Element x y z (fractional)
Co  0.000  0.000  0.000
Co  0.255  0.255  0.255
Co  0.745  0.745  0.745
W  0.500  0.500  0.500

Results
energy of formation = 238 meV per atom

***

6.
# Ti3CdN

A relaxed Ti3CdN crystal (PBE, the Alexandria database).

a = 4.190 Å, b = 4.190 Å, c = 4.190 Å
α = 90.00°, β = 90.00°, γ = 90.00°
Element x y z (fractional)
Ti  0.000  0.000  0.500
Ti  0.000  0.500  0.000
Ti  0.500  0.000  0.000
Cd  0.500  0.500  0.500
N  0.000  0.000  0.000

Results
E_form (uncorrected) = -812 meV/atom

***

7.
# AcYCd17

A relaxed AcYCd17 crystal (PBE, the Alexandria database).

a = 7.718 Å, b = 7.718 Å, c = 7.718 Å
α = 82.30°, β = 82.30°, γ = 82.30°
Element x y z (fractional)
Ac  0.000  0.000  0.000
Y  0.339  0.339  0.339
Cd  0.040  0.040  0.470
Cd  0.040  0.470  0.040
Cd  0.146  0.683  0.683
Cd  0.317  0.317  0.795
Cd  0.317  0.795  0.317
Cd  0.370  0.662  0.966
Cd  0.370  0.966  0.662
Cd  0.470  0.040  0.040
Cd  0.559  0.559  0.559
Cd  0.662  0.370  0.966
Cd  0.662  0.966  0.370
Cd  0.683  0.146  0.683
Cd  0.683  0.683  0.146
Cd  0.758  0.758  0.758
Cd  0.795  0.317  0.317
Cd  0.966  0.370  0.662
Cd  0.966  0.662  0.370

Results
energy of formation = -150 meV per atom

***

8.
# Sm2TmCd2In2

A relaxed Sm2TmCd2In2 crystal (PBE, the Alexandria database).

a = 9.508 Å, b = 9.508 Å, c = 9.508 Å
α = 30.13°, β = 30.13°, γ = 30.13°
Element x y z (fractional)
Sm  0.127  0.127  0.127
Sm  0.873  0.873  0.873
Tm  0.000  0.000  0.000
Cd  0.392  0.392  0.392
Cd  0.608  0.608  0.608
In  0.262  0.262  0.262
In  0.738  0.738  0.738

Results
energy of formation = -249 meV per atom

***

Values for spin magnetization, μB per atom, ordered as above
0.000 0.235 0.000 0.205 1.073 0.000 0.000 0.000
Values for Fermi-level density of states, states/eV/f.u., ordered as above
0.0 2.2 4.5 10.5 4.9 5.0 5.0 4.4